A plane-wave DFT calculation with PBE-GGA was carried out for InTe2Os after structural relaxation.

POSCAR file:
```
InTe2Os
1.0
-4.144 -0.780 1.658
-1.627 -0.170 -4.146
0.775 -4.387 -0.125
Te In Os
2 1 1
Cartesian
0.000 0.000 0.000
-0.426 -2.279 -2.135
-2.886 -0.475 -1.244
-1.684 -2.584 0.767
```

Values from the calculation:
Electronic total energy (eV/atom): -4.123
Symmetry: No. 123